# 1
# KNiB4 | OQMD | PBE | relaxed
data_KNiB4
_chemical_formula_sum 'K1 Ni1 B4'
_space_group_name_H-M_alt 'P 1'
_space_group_IT_number 1
_cell_length_a 5.324
_cell_length_b 5.324
_cell_length_c 5.324
_cell_angle_alpha 153.52
_cell_angle_beta 113.55
_cell_angle_gamma 72.87
loop_
_space_group_symop_operation_xyz
'x,y,z'
loop_
_atom_site_label
_atom_site_fract_x
_atom_site_fract_y
_atom_site_fract_z
B1 0.576 0.219 0.357
B2 0.138 0.781 0.357
B3 0.862 0.219 0.643
B4 0.424 0.781 0.643
K1 0.000 0.000 0.000
Ni1 0.500 0.500 0.000
# Energy above the lowest structure with this stoichiometry   296 meV per atom
# Total magnetization   0.00 Bohr magnetons per cell
# SG   No. 71
# Volume   60.9 Å³ per cell
# DFT total energy   -5.067 eV/atom

# 2
# PmNpPb | OQMD | PBE | relaxed
data_PmNpPb
_chemical_formula_sum 'Pm1 Np1 Pb1'
_space_group_name_H-M_alt 'P 1'
_space_group_IT_number 1
_cell_length_a 5.128
_cell_length_b 5.128
_cell_length_c 5.128
_cell_angle_alpha 60.00
_cell_angle_beta 60.00
_cell_angle_gamma 60.00
loop_
_space_group_symop_operation_xyz
'x,y,z'
loop_
_atom_site_label
_atom_site_fract_x
_atom_site_fract_y
_atom_site_fract_z
Np1 0.500 0.500 0.500
Pb1 0.000 0.000 0.000
Pm1 0.250 0.250 0.250
# Total magnetization   5.93 Bohr magnetons per cell
# SG   No. 216
# Volume   95.4 Å³ per cell
# DFT total energy   -6.416 eV/atom

# 3
# Hg5Sb2I6 | OQMD | PBE | relaxed
data_Hg5Sb2I6
_chemical_formula_sum 'Hg20 Sb8 I24'
_space_group_name_H-M_alt 'P 1'
_space_group_IT_number 1
_cell_length_a 8.234
_cell_length_b 10.854
_cell_length_c 21.561
_cell_angle_alpha 90.00
_cell_angle_beta 90.00
_cell_angle_gamma 90.00
loop_
_space_group_symop_operation_xyz
'x,y,z'
loop_
_atom_site_label
_atom_site_fract_x
_atom_site_fract_y
_atom_site_fract_z
Hg1 0.743 0.142 0.020
Hg2 0.554 0.497 0.101
Hg3 0.419 0.905 0.113
Hg4 0.908 0.777 0.175
Hg5 0.851 0.166 0.229
Hg6 0.351 0.666 0.271
Hg7 0.408 0.277 0.325
Hg8 0.919 0.405 0.387
Hg9 0.054 0.997 0.399
Hg10 0.243 0.642 0.480
Hg11 0.757 0.142 0.520
Hg12 0.946 0.497 0.601
Hg13 0.081 0.905 0.613
Hg14 0.592 0.777 0.675
Hg15 0.649 0.166 0.729
Hg16 0.149 0.666 0.771
Hg17 0.092 0.277 0.825
Hg18 0.581 0.405 0.887
Hg19 0.446 0.997 0.899
Hg20 0.257 0.642 0.980
I1 0.804 0.418 0.011
I2 0.709 0.784 0.055
I3 0.008 0.109 0.121
I4 0.498 0.157 0.122
I5 0.755 0.501 0.208
I6 0.178 0.382 0.248
I7 0.678 0.882 0.252
I8 0.255 0.001 0.292
I9 0.998 0.657 0.378
I10 0.508 0.609 0.379
I11 0.209 0.284 0.445
I12 0.304 0.918 0.489
I13 0.696 0.418 0.511
I14 0.791 0.784 0.555
I15 0.492 0.109 0.621
I16 0.002 0.157 0.622
I17 0.745 0.501 0.708
I18 0.322 0.382 0.748
I19 0.822 0.882 0.752
I20 0.245 0.001 0.792
I21 0.502 0.657 0.878
I22 0.992 0.609 0.879
I23 0.291 0.284 0.945
I24 0.196 0.918 0.989
Sb1 0.225 0.499 0.083
Sb2 0.226 0.719 0.158
Sb3 0.726 0.219 0.342
Sb4 0.725 0.999 0.417
Sb5 0.275 0.499 0.583
Sb6 0.274 0.719 0.658
Sb7 0.774 0.219 0.842
Sb8 0.775 0.999 0.917
# SG   No. 33
# Volume   1927.0 Å³ per cell
# DFT total energy   -1.679 eV/atom

# 4
# KPrAs | OQMD | PBE | relaxed
data_KPrAs
_chemical_formula_sum 'K1 Pr1 As1'
_space_group_name_H-M_alt 'P 1'
_space_group_IT_number 1
_cell_length_a 5.176
_cell_length_b 5.176
_cell_length_c 5.176
_cell_angle_alpha 60.00
_cell_angle_beta 60.00
_cell_angle_gamma 60.00
loop_
_space_group_symop_operation_xyz
'x,y,z'
loop_
_atom_site_label
_atom_site_fract_x
_atom_site_fract_y
_atom_site_fract_z
As1 0.000 0.000 0.000
K1 0.250 0.250 0.250
Pr1 0.750 0.750 0.750
# Total magnetization   0.00 Bohr magnetons per cell
# SG   No. 216
# Volume   98.1 Å³ per cell
# DFT total energy   -3.997 eV/atom

# 5
# Hf3BePt2 | OQMD | PBE | relaxed
data_Hf3BePt2
_chemical_formula_sum 'Hf3 Be1 Pt2'
_space_group_name_H-M_alt 'P 1'
_space_group_IT_number 1
_cell_length_a 3.221
_cell_length_b 3.221
_cell_length_c 10.119
_cell_angle_alpha 90.00
_cell_angle_beta 90.00
_cell_angle_gamma 90.00
loop_
_space_group_symop_operation_xyz
'x,y,z'
loop_
_atom_site_label
_atom_site_fract_x
_atom_site_fract_y
_atom_site_fract_z
Be1 0.000 0.000 0.143
Hf1 0.500 0.500 0.311
Hf2 0.500 0.500 0.659
Hf3 0.000 0.000 0.865
Pt1 0.500 0.500 0.038
Pt2 0.000 0.000 0.483
# Total magnetization   0.31 Bohr magnetons per cell
# SG   No. 99
# Volume   105.0 Å³ per cell
# DFT total energy   -8.269 eV/atom

# 6
# BeCoCu4Ge2 | OQMD | PBE | relaxed
data_BeCoCu4Ge2
_chemical_formula_sum 'Be1 Co1 Cu4 Ge2'
_space_group_name_H-M_alt 'P 1'
_space_group_IT_number 1
_cell_length_a 3.893
_cell_length_b 3.893
_cell_length_c 6.317
_cell_angle_alpha 90.00
_cell_angle_beta 90.00
_cell_angle_gamma 90.00
loop_
_space_group_symop_operation_xyz
'x,y,z'
loop_
_atom_site_label
_atom_site_fract_x
_atom_site_fract_y
_atom_site_fract_z
Be1 0.000 0.000 0.500
Co1 0.500 0.500 0.000
Cu1 0.500 0.000 0.263
Cu2 0.000 0.500 0.263
Cu3 0.500 0.000 0.737
Cu4 0.000 0.500 0.737
Ge1 0.000 0.000 0.000
Ge2 0.500 0.500 0.500
# Energy above the lowest structure with this stoichiometry   0 meV per atom
# Total magnetization   0.94 Bohr magnetons per cell
# SG   No. 123
# Volume   95.8 Å³ per cell
# DFT total energy   -4.228 eV/atom

# 7
# Hf2P3W4C3 | OQMD | PBE | relaxed
data_Hf2P3W4C3
_chemical_formula_sum 'Hf4 P6 W8 C6'
_space_group_name_H-M_alt 'P 1'
_space_group_IT_number 1
_cell_length_a 5.681
_cell_length_b 5.681
_cell_length_c 12.012
_cell_angle_alpha 103.60
_cell_angle_beta 103.60
_cell_angle_gamma 60.26
loop_
_space_group_symop_operation_xyz
'x,y,z'
loop_
_atom_site_label
_atom_site_fract_x
_atom_site_fract_y
_atom_site_fract_z
C1 0.000 0.500 0.000
C2 0.665 0.172 0.000
C3 0.828 0.335 0.500
C4 0.500 0.000 0.500
C5 0.172 0.665 0.500
C6 0.335 0.828 0.000
Hf1 0.368 0.535 0.108
Hf2 0.465 0.632 0.392
Hf3 0.535 0.368 0.608
Hf4 0.632 0.465 0.892
P1 0.776 0.582 0.249
P2 0.060 0.940 0.250
P3 0.418 0.224 0.251
P4 0.582 0.776 0.749
P5 0.940 0.060 0.750
P6 0.224 0.418 0.751
W1 0.698 0.869 0.092
W2 0.037 0.194 0.092
W3 0.806 0.963 0.408
W4 0.131 0.302 0.408
W5 0.869 0.698 0.592
W6 0.194 0.037 0.592
W7 0.963 0.806 0.908
W8 0.302 0.131 0.908
# Total magnetization   0.00 Bohr magnetons per cell
# SG   No. 15
# Volume   323.9 Å³ per cell
# DFT total energy   -10.062 eV/atom

# 8
# NdY2Mg3Ga2Au | OQMD | PBE | relaxed
data_NdY2Mg3Ga2Au
_chemical_formula_sum 'Nd1 Y2 Mg3 Ga2 Au1'
_space_group_name_H-M_alt 'P 1'
_space_group_IT_number 1
_cell_length_a 4.372
_cell_length_b 7.467
_cell_length_c 7.467
_cell_angle_alpha 120.55
_cell_angle_beta 90.00
_cell_angle_gamma 90.00
loop_
_space_group_symop_operation_xyz
'x,y,z'
loop_
_atom_site_label
_atom_site_fract_x
_atom_site_fract_y
_atom_site_fract_z
Au1 0.000 0.994 0.994
Ga1 0.500 0.670 0.332
Ga2 0.500 0.332 0.670
Mg1 0.500 0.998 0.244
Mg2 0.500 0.757 0.757
Mg3 0.500 0.244 0.998
Nd1 0.000 0.416 0.416
Y1 0.000 0.586 0.001
Y2 0.000 0.001 0.586
# Total magnetization   0.00 Bohr magnetons per cell
# SG   No. 38
# Volume   209.9 Å³ per cell
# DFT total energy   -4.111 eV/atom